Record 1
A relaxed BaTl2Pb crystal, computed with PBE.

abc: 11.0457 11.0457 11.0457
angles: 20.30 20.30 20.30
Last column: nearest neighbours and their distance in Å.
Element x y z (fractional)
Pb: 0.7500 0.7500 0.7500  6 Tl 3.37
Tl: 0.0058 0.0058 0.0058  3 Pb 3.37, 3 Ba 3.66
Tl: 0.4942 0.4942 0.4942  3 Pb 3.37, 3 Ba 3.66
Ba: 0.2500 0.2500 0.2500  6 Tl 3.66, 6 Ba 3.89

Calculated values
E_tot: -2.643 eV per atom
Fermi-level density of states: 2.74 states/eV/cell
E above lowest polymorph: 0.266 eV per atom

---

Record 2
A relaxed Ba3Tl4Pb7 crystal, computed with PBE.

abc: 5.3210 10.1031 10.0753
angles: 74.45 74.69 74.73
Last column: nearest neighbours and their distance in Å.
Element x y z (fractional)
Ba: 0.3004 0.1930 0.2061  8 Pb 3.70-4.03, 5 Tl 3.76-4.08
Ba: 0.6996 0.8070 0.7939  8 Pb 3.70-4.03, 5 Tl 3.76-4.08
Ba: 0.0000 0.5000 0.5000  6 Pb 3.79-4.05, 6 Tl 3.86-4.17
Tl: 0.6547 0.4714 0.2193  5 Pb 3.19-3.25
Tl: 0.3453 0.5286 0.7807  5 Pb 3.19-3.25
Tl: 0.8491 0.9358 0.3661  6 Pb 3.23-3.61
Tl: 0.1509 0.0642 0.6339  6 Pb 3.23-3.61
Pb: 0.3596 0.7751 0.5056  1 Pb 3.17, 4 Tl 3.19-3.32
Pb: 0.4925 0.1888 0.8262  5 Pb 3.17-3.46, 1 Tl 3.25
Pb: 0.8549 0.3662 0.9239  3 Tl 3.25, 3 Pb 3.42-3.49
Pb: 0.6404 0.2249 0.4944  1 Pb 3.17, 4 Tl 3.19-3.32
Pb: 0.1451 0.6338 0.0761  3 Tl 3.25, 3 Pb 3.42-3.49
Pb: 0.0000 0.0000 0.0000  6 Pb 3.46-3.49, 2 Tl 3.48
Pb: 0.5075 0.8112 0.1738  5 Pb 3.17-3.46, 1 Tl 3.25

Calculated values
E_tot: -3.238 eV per atom
Fermi-level density of states: 6.88 states/eV/cell

---

Record 3
A relaxed Ba4Tl6Pb7 crystal, computed with PBE.

abc: 9.1360 9.1360 9.1360
angles: 109.47 109.47 109.47
Last column: nearest neighbours and their distance in Å.
Element x y z (fractional)
Ba: 0.5000 0.0000 0.0000  6 Pb 3.73, 6 Tl 3.78
Ba: 0.5000 0.5000 0.5000  6 Pb 3.73, 6 Tl 3.78
Ba: 0.0000 0.5000 0.0000  6 Pb 3.73, 6 Tl 3.78
Ba: 0.0000 0.0000 0.5000  6 Pb 3.73, 6 Tl 3.78
Tl: 0.6915 0.0000 0.6915  5 Pb 3.25-3.32
Tl: 0.6915 0.6915 0.0000  5 Pb 3.25-3.32
Tl: 0.0000 0.3085 0.3085  5 Pb 3.25-3.32
Tl: 0.3085 0.0000 0.3085  5 Pb 3.25-3.32
Tl: 0.3085 0.3085 0.0000  5 Pb 3.25-3.32
Tl: 0.0000 0.6915 0.6915  5 Pb 3.25-3.32
Pb: 0.7500 0.5000 0.2500  4 Tl 3.32
Pb: 0.2500 0.7500 0.5000  4 Tl 3.32
Pb: 0.5000 0.7500 0.2500  4 Tl 3.32
Pb: 0.7500 0.2500 0.5000  4 Tl 3.32
Pb: 0.2500 0.5000 0.7500  4 Tl 3.32
Pb: 0.5000 0.2500 0.7500  4 Tl 3.32
Pb: 0.0000 0.0000 0.0000  6 Tl 3.25

Calculated values
E_tot: -3.143 eV per atom
Fermi-level density of states: 12.33 states/eV/cell

---

Record 4
A relaxed Ba6Tl2Pb crystal, computed with PBE.

abc: 8.1964 9.8172 11.4224
angles: 90.00 80.52 90.00
Last column: nearest neighbours and their distance in Å.
Element x y z (fractional)
Ba: 0.8472 0.9426 0.2393  1 Pb 3.46, 2 Tl 3.67-3.69
Ba: 0.8370 0.6673 0.5539  1 Pb 3.54, 3 Tl 3.60-3.78
Ba: 0.8558 0.6926 0.9246  1 Pb 3.46, 1 Tl 3.57
Ba: 0.6442 0.1926 0.5754  1 Pb 3.46, 1 Tl 3.57
Ba: 0.6630 0.1673 0.9461  1 Pb 3.54, 3 Tl 3.60-3.78
Ba: 0.6528 0.4426 0.2607  1 Pb 3.46, 2 Tl 3.67-3.69
Ba: 0.1528 0.0574 0.7607  1 Pb 3.46, 2 Tl 3.67-3.69
Ba: 0.1630 0.3327 0.4461  1 Pb 3.54, 3 Tl 3.60-3.78
Ba: 0.1442 0.3074 0.0754  1 Pb 3.46, 1 Tl 3.57
Ba: 0.3558 0.8074 0.4246  1 Pb 3.46, 1 Tl 3.57
Ba: 0.3370 0.8327 0.0539  1 Pb 3.54, 3 Tl 3.60-3.78
Ba: 0.3472 0.5574 0.7393  1 Pb 3.46, 2 Tl 3.67-3.69
Tl: 0.9425 0.3874 0.7563  7 Ba 3.57-3.95
Tl: 0.5575 0.8874 0.7437  7 Ba 3.57-3.95
Tl: 0.4425 0.1126 0.2563  7 Ba 3.57-3.95
Tl: 0.0575 0.6126 0.2437  7 Ba 3.57-3.95
Pb: 0.5000 0.5000 0.0000  6 Ba 3.46-3.54
Pb: 0.0000 0.0000 0.5000  6 Ba 3.46-3.54

Calculated values
E_tot: -2.467 eV per atom
Fermi-level density of states: 21.61 states/eV/cell